A geometry-optimized Be2Tc2Os structure, computed with PBEsol.

Crystal system: tetragonal
E_tot: -8.70 eV/atom
Fermi-level density of states: 0.975 states/eV per atom

abc: 6.143 6.143 2.972
angles: 90.00 90.00 90.00
Sites, in units of the cell vectors:
1 Be 0.123 0.377 0.000
2 Be 0.377 0.877 0.000
3 Be 0.623 0.123 0.000
4 Be 0.877 0.623 0.000
5 Tc 0.170 0.670 0.500
6 Tc 0.330 0.170 0.500
7 Tc 0.670 0.830 0.500
8 Tc 0.830 0.330 0.500
9 Os 0.000 0.000 0.000
10 Os 0.500 0.500 0.000